TaGeH2Pd: single point on PBEsol structure, meta-GGA SCAN.

Summary:
**Space group**: P4/mmm (123)
**Final energy**: -24.718 eV/atom
**Total magnetic moment**: 0.0 μB/f.u.

Lattice parameters (Å, degrees): 3.589 3.589 5.205 90.00 90.00 90.00
Positions (direct):
Ta1 0.000 0.000 0.000
Ge1 0.500 0.500 0.500
H1 0.000 0.500 0.000
H2 0.500 0.000 0.000
Pd1 0.000 0.000 0.500